# NdY2TaN4 (PBE-GGA, optimized geometry)
data_NdY2TaN4
_chemical_formula_sum 'Nd2 Y4 Ta2 N8'
_space_group_name_H-M_alt 'P 1'
_space_group_IT_number 1
_cell_length_a 3.417
_cell_length_b 6.245
_cell_length_c 12.160
_cell_angle_alpha 90.00
_cell_angle_beta 90.00
_cell_angle_gamma 105.87
loop_
_space_group_symop_operation_xyz
'x,y,z'
loop_
_atom_site_label
_atom_site_type_symbol
_atom_site_fract_x
_atom_site_fract_y
_atom_site_fract_z
Ta1 Ta 0.161 0.321 0.250
N1 N 0.741 0.481 0.877
Y1 Y 0.630 0.259 0.466
N2 N 0.741 0.481 0.623
N3 N 0.000 0.000 0.000
N4 N 0.441 0.882 0.750
Y2 Y 0.630 0.259 0.034
Y3 Y 0.370 0.741 0.966
Y4 Y 0.370 0.741 0.534
N5 N 0.259 0.519 0.123
N6 N 0.259 0.519 0.377
Nd1 Nd 0.899 0.798 0.250
N7 N 0.559 0.118 0.250
Nd2 Nd 0.101 0.202 0.750
N8 N 0.000 0.000 0.500
Ta2 Ta 0.839 0.679 0.750
# E_form (uncorrected): -1.28 eV/atom
# Energy: -146.14 eV for the cell shown


# SbSeCl2 (PBE-GGA, optimized geometry)
data_SbSeCl2
_chemical_formula_sum 'Sb1 Se1 Cl2'
_space_group_name_H-M_alt 'P 1'
_space_group_IT_number 1
_cell_length_a 11.309
_cell_length_b 11.309
_cell_length_c 11.309
_cell_angle_alpha 16.82
_cell_angle_beta 16.82
_cell_angle_gamma 16.82
loop_
_space_group_symop_operation_xyz
'x,y,z'
loop_
_atom_site_label
_atom_site_type_symbol
_atom_site_fract_x
_atom_site_fract_y
_atom_site_fract_z
Cl1 Cl 0.520 0.520 0.520
Cl2 Cl 0.980 0.980 0.980
Sb1 Sb 0.250 0.250 0.250
Se1 Se 0.750 0.750 0.750
# E_form (uncorrected): 0.14 eV/atom
# Energy: -10.75 eV for the cell shown


# ZnCuAg (PBE-GGA, optimized geometry)
data_ZnCuAg
_chemical_formula_sum 'Zn2 Cu2 Ag2'
_space_group_name_H-M_alt 'P 1'
_space_group_IT_number 1
_cell_length_a 4.899
_cell_length_b 3.838
_cell_length_c 5.563
_cell_angle_alpha 89.98
_cell_angle_beta 110.05
_cell_angle_gamma 66.62
loop_
_space_group_symop_operation_xyz
'x,y,z'
loop_
_atom_site_label
_atom_site_type_symbol
_atom_site_fract_x
_atom_site_fract_y
_atom_site_fract_z
Cu1 Cu 0.313 0.843 0.074
Ag1 Ag 0.662 0.168 0.406
Ag2 Ag 0.338 0.832 0.594
Zn1 Zn 0.019 0.492 0.769
Cu2 Cu 0.687 0.157 0.926
Zn2 Zn 0.981 0.508 0.231
# Energy relative to the elements: -5 meV per atom
# Energy: -16.47 eV for the cell shown


# SrZrCd2 (PBE-GGA, optimized geometry)
data_SrZrCd2
_chemical_formula_sum 'Sr1 Zr1 Cd2'
_space_group_name_H-M_alt 'P 1'
_space_group_IT_number 1
_cell_length_a 3.673
_cell_length_b 3.677
_cell_length_c 7.887
_cell_angle_alpha 90.00
_cell_angle_beta 90.00
_cell_angle_gamma 90.00
loop_
_space_group_symop_operation_xyz
'x,y,z'
loop_
_atom_site_label
_atom_site_type_symbol
_atom_site_fract_x
_atom_site_fract_y
_atom_site_fract_z
Zr1 Zr 0.500 0.500 0.750
Cd1 Cd 0.000 0.000 0.958
Sr1 Sr 0.500 0.500 0.250
Cd2 Cd 0.000 0.000 0.542
# Energy relative to the elements: -105 meV per atom
# Energy: -12.48 eV for the cell shown


# SmYErTm (PBE-GGA, optimized geometry)
data_SmYErTm
_chemical_formula_sum 'Sm1 Y1 Er1 Tm1'
_space_group_name_H-M_alt 'P 1'
_space_group_IT_number 1
_cell_length_a 5.663
_cell_length_b 5.663
_cell_length_c 5.663
_cell_angle_alpha 60.00
_cell_angle_beta 60.00
_cell_angle_gamma 60.00
loop_
_space_group_symop_operation_xyz
'x,y,z'
loop_
_atom_site_label
_atom_site_type_symbol
_atom_site_fract_x
_atom_site_fract_y
_atom_site_fract_z
Tm1 Tm 0.000 0.000 0.000
Sm1 Sm 0.250 0.250 0.250
Y1 Y 0.750 0.750 0.750
Er1 Er 0.500 0.500 0.500
# Energy relative to the elements: 125 meV per atom
# Energy: -19.72 eV for the cell shown


# CaReAs2 (PBE-GGA, optimized geometry)
data_CaReAs2
_chemical_formula_sum 'Ca1 Re1 As2'
_space_group_name_H-M_alt 'P 1'
_space_group_IT_number 1
_cell_length_a 3.184
_cell_length_b 3.185
_cell_length_c 7.200
_cell_angle_alpha 90.00
_cell_angle_beta 90.00
_cell_angle_gamma 90.00
loop_
_space_group_symop_operation_xyz
'x,y,z'
loop_
_atom_site_label
_atom_site_type_symbol
_atom_site_fract_x
_atom_site_fract_y
_atom_site_fract_z
Ca1 Ca 0.500 0.500 0.250
Re1 Re 0.500 0.500 0.750
As1 As 0.000 0.000 0.545
As2 As 0.000 0.000 0.955
# Energy relative to the elements: -208 meV per atom
# Energy: -24.58 eV for the cell shown


# Li2ZnS (PBE-GGA, optimized geometry)
data_Li2ZnS
_chemical_formula_sum 'Li2 Zn1 S1'
_space_group_name_H-M_alt 'P 1'
_space_group_IT_number 1
_cell_length_a 4.509
_cell_length_b 4.509
_cell_length_c 4.509
_cell_angle_alpha 60.00
_cell_angle_beta 60.00
_cell_angle_gamma 60.00
loop_
_space_group_symop_operation_xyz
'x,y,z'
loop_
_atom_site_label
_atom_site_type_symbol
_atom_site_fract_x
_atom_site_fract_y
_atom_site_fract_z
Li1 Li 0.750 0.750 0.750
Li2 Li 0.250 0.250 0.250
S1 S 0.000 0.000 0.000
Zn1 Zn 0.500 0.500 0.500
# E_form (uncorrected): -0.54 eV/atom
# Energy: -11.38 eV for the cell shown


# Al2PdAu (PBE-GGA, optimized geometry)
data_Al2PdAu
_chemical_formula_sum 'Al4 Pd2 Au2'
_space_group_name_H-M_alt 'P 1'
_space_group_IT_number 1
_cell_length_a 7.079
_cell_length_b 7.079
_cell_length_c 5.719
_cell_angle_alpha 51.77
_cell_angle_beta 51.77
_cell_angle_gamma 90.00
loop_
_space_group_symop_operation_xyz
'x,y,z'
loop_
_atom_site_label
_atom_site_type_symbol
_atom_site_fract_x
_atom_site_fract_y
_atom_site_fract_z
Al1 Al 0.133 0.625 0.250
Pd1 Pd 0.500 0.500 0.000
Al2 Al 0.617 0.125 0.250
Au1 Au 0.750 0.250 0.500
Al3 Al 0.375 0.383 0.750
Pd2 Pd 0.250 0.750 0.500
Al4 Al 0.875 0.867 0.750
Au2 Au 0.000 0.000 0.000
# Energy relative to the elements: -256 meV per atom
# Energy: -33.96 eV for the cell shown


# PmYAu4 (PBE-GGA, optimized geometry)
data_PmYAu4
_chemical_formula_sum 'Pm1 Y1 Au4'
_space_group_name_H-M_alt 'P 1'
_space_group_IT_number 1
_cell_length_a 3.797
_cell_length_b 3.797
_cell_length_c 9.168
_cell_angle_alpha 90.00
_cell_angle_beta 90.00
_cell_angle_gamma 90.00
loop_
_space_group_symop_operation_xyz
'x,y,z'
loop_
_atom_site_label
_atom_site_type_symbol
_atom_site_fract_x
_atom_site_fract_y
_atom_site_fract_z
Au1 Au 0.000 0.000 0.338
Y1 Y 0.500 0.500 0.500
Au2 Au 0.500 0.500 0.831
Au3 Au 0.500 0.500 0.169
Pm1 Pm 0.000 0.000 0.000
Au4 Au 0.000 0.000 0.662
# Energy relative to the elements: -823 meV per atom
# Energy: -29.26 eV for the cell shown


# NiRhI2Cl (PBE-GGA, optimized geometry)
data_NiRhI2Cl
_chemical_formula_sum 'Ni1 Rh1 I2 Cl1'
_space_group_name_H-M_alt 'P 1'
_space_group_IT_number 1
_cell_length_a 5.438
_cell_length_b 4.656
_cell_length_c 5.438
_cell_angle_alpha 90.00
_cell_angle_beta 90.00
_cell_angle_gamma 90.00
loop_
_space_group_symop_operation_xyz
'x,y,z'
loop_
_atom_site_label
_atom_site_type_symbol
_atom_site_fract_x
_atom_site_fract_y
_atom_site_fract_z
Cl1 Cl 0.000 0.500 0.000
Ni1 Ni 0.500 0.500 0.500
Rh1 Rh 0.000 0.000 0.000
I1 I 0.000 0.000 0.500
I2 I 0.500 0.000 0.000
# E_form (uncorrected): 0.51 eV/atom
# Energy: -15.52 eV for the cell shown


# GeSbTePd (PBE-GGA, optimized geometry)
data_GeSbTePd
_chemical_formula_sum 'Ge2 Sb2 Te2 Pd2'
_space_group_name_H-M_alt 'P 1'
_space_group_IT_number 1
_cell_length_a 5.685
_cell_length_b 4.139
_cell_length_c 8.560
_cell_angle_alpha 90.00
_cell_angle_beta 102.95
_cell_angle_gamma 90.00
loop_
_space_group_symop_operation_xyz
'x,y,z'
loop_
_atom_site_label
_atom_site_type_symbol
_atom_site_fract_x
_atom_site_fract_y
_atom_site_fract_z
Pd1 Pd 0.544 0.000 0.424
Sb1 Sb 0.865 0.500 0.521
Te1 Te 0.407 0.000 0.712
Ge1 Ge 0.067 0.500 0.857
Sb2 Sb 0.865 0.000 0.021
Pd2 Pd 0.544 0.500 0.924
Ge2 Ge 0.067 0.000 0.357
Te2 Te 0.407 0.500 0.212
# E_form (uncorrected): -0.11 eV/atom
# Energy: -35.04 eV for the cell shown


# SrCd6 (PBE-GGA, optimized geometry)
data_SrCd6
_chemical_formula_sum 'Sr1 Cd6'
_space_group_name_H-M_alt 'P 1'
_space_group_IT_number 1
_cell_length_a 6.810
_cell_length_b 6.810
_cell_length_c 6.810
_cell_angle_alpha 109.47
_cell_angle_beta 109.47
_cell_angle_gamma 109.47
loop_
_space_group_symop_operation_xyz
'x,y,z'
loop_
_atom_site_label
_atom_site_type_symbol
_atom_site_fract_x
_atom_site_fract_y
_atom_site_fract_z
Cd1 Cd 0.250 0.750 0.500
Cd2 Cd 0.750 0.500 0.250
Cd3 Cd 0.250 0.500 0.750
Sr1 Sr 0.000 0.000 0.000
Cd4 Cd 0.500 0.250 0.750
Cd5 Cd 0.500 0.750 0.250
Cd6 Cd 0.750 0.250 0.500
# Energy relative to the elements: 157 meV per atom
# Energy: -6.07 eV for the cell shown


Look up the energy of the third one. -16.47 eV for the cell shown


The lowest energy belongs to which entry? NdY2TaN4